1.
# CaAg2Te, optimized geometry, DFT PBEsol
data_CaAg2Te
_chemical_formula_sum 'Ca1 Ag2 Te1'
_cell_length_a 3.8835
_cell_length_b 3.8835
_cell_length_c 6.2449
_cell_angle_alpha 90.00
_cell_angle_beta 90.00
_cell_angle_gamma 90.00
_symmetry_space_group_name_H-M 'P 4 m m'
_symmetry_Int_Tables_number 99
_symmetry_space_group_name_Hall 'P 4 -2'
loop_
_atom_site_label
_atom_site_type_symbol
_atom_site_fract_x
_atom_site_fract_y
_atom_site_fract_z
Ca1 Ca 0.0000 0.0000 0.0000
Ag1 Ag 0.0000 0.0000 0.5332
Ag2 Ag 0.5000 0.5000 0.6746
Te1 Te 0.5000 0.5000 0.2111
# - formation energy from raw total energies (eV/f.u.) = -1.443
# - magnetic moment (Bohr magnetons per cell) = 0.00


2.
# NaMo6Se8, optimized geometry, DFT PBEsol
data_NaMo6Se8
_chemical_formula_sum 'Na3 Mo18 Se24'
_cell_length_a 9.4624
_cell_length_b 9.4624
_cell_length_c 11.7134
_cell_angle_alpha 90.00
_cell_angle_beta 90.00
_cell_angle_gamma 120.00
_symmetry_space_group_name_H-M 'R -3'
_symmetry_Int_Tables_number 148
_symmetry_space_group_name_Hall '-R 3'
loop_
_atom_site_label
_atom_site_type_symbol
_atom_site_fract_x
_atom_site_fract_y
_atom_site_fract_z
Na1 Na 0.0000 0.0000 0.0000
Mo1 Mo 0.0161 0.1699 0.4033
Se1 Se 0.0000 0.0000 0.2345
Se2 Se 0.0027 0.3702 0.2483
# - formation energy from raw total energies (eV/f.u.) = -9.351
# - magnetic moment (Bohr magnetons per cell) = 0.00


- Which formula does entry 1 have?
  CaAg2Te


- Which formula does entry 1 have?
  CaAg2Te


Copy entry 2 word for word.
# NaMo6Se8, optimized geometry, DFT PBEsol
data_NaMo6Se8
_chemical_formula_sum 'Na3 Mo18 Se24'
_cell_length_a 9.4624
_cell_length_b 9.4624
_cell_length_c 11.7134
_cell_angle_alpha 90.00
_cell_angle_beta 90.00
_cell_angle_gamma 120.00
_symmetry_space_group_name_H-M 'R -3'
_symmetry_Int_Tables_number 148
_symmetry_space_group_name_Hall '-R 3'
loop_
_atom_site_label
_atom_site_type_symbol
_atom_site_fract_x
_atom_site_fract_y
_atom_site_fract_z
Na1 Na 0.0000 0.0000 0.0000
Mo1 Mo 0.0161 0.1699 0.4033
Se1 Se 0.0000 0.0000 0.2345
Se2 Se 0.0027 0.3702 0.2483
# - formation energy from raw total energies (eV/f.u.) = -9.351
# - magnetic moment (Bohr magnetons per cell) = 0.00